No. 1
## Sm3AgSn3 (PBE)

Data for a relaxed structure of Sm3AgSn3.

a b c (Å): 4.6599 6.2300 14.4372
angles (deg): 83.59 80.71 68.04
Closest atoms and distances in Å follow each position.
Atoms (fractional coordinates):
Sm 0.5322 0.3176 0.6180  6 Sn 3.22-3.39, 4 Ag 3.27-3.59
Sm 0.5991 0.7243 0.0776  7 Sn 3.16-3.51
Sm 0.4678 0.6824 0.3820  6 Sn 3.22-3.39, 4 Ag 3.27-3.59
Sm 0.2638 0.2475 0.2249  6 Sn 3.20-3.45, 2 Ag 3.42
Sm 0.4009 0.2757 0.9224  7 Sn 3.16-3.51
Sm 0.7362 0.7525 0.7751  6 Sn 3.20-3.45, 2 Ag 3.42
Sn 0.8732 0.1784 0.0751  2 Sn 3.00-3.05, 5 Sm 3.16-3.22
Sn 0.1344 0.2804 0.4507  3 Ag 2.76-2.98, 1 Sn 2.97
Sn 0.8656 0.7196 0.5493  3 Ag 2.76-2.98, 1 Sn 2.97
Sn 0.1268 0.8216 0.9249  2 Sn 3.00-3.05, 5 Sm 3.16-3.22
Sn 0.9809 0.8070 0.2312  1 Ag 2.83, 1 Sn 3.00
Sn 0.0191 0.1930 0.7688  1 Ag 2.83, 1 Sn 3.00
Ag 0.7655 0.0782 0.3909  4 Sn 2.76-2.98
Ag 0.2345 0.9218 0.6091  4 Sn 2.76-2.98

## Properties
DOS(E_F) (states/eV/atom): 0.565
Crystal system: monoclinic
Formation energy (eV/f.u.): -4.7

=====

No. 2
## Sm5Ag2Sn5 (PBE)

Data for a relaxed structure of Sm5Ag2Sn5.

a b c (Å): 4.6390 6.6610 13.6173
angles (deg): 121.15 90.00 110.38
Closest atoms and distances in Å follow each position.
Atoms (fractional coordinates):
Sn 0.6911 0.3821 0.7833  2 Ag 2.86
Sn 0.8448 0.6896 0.5512  1 Ag 2.80, 2 Sn 3.05
Sn 0.3089 0.6179 0.2167  2 Ag 2.86
Sn 0.0000 0.0000 0.0000  4 Sm 3.04, 2 Sn 3.32, 2 Ag 3.38
Sn 0.1552 0.3104 0.4488  1 Ag 2.80, 2 Sn 3.05
Sm 0.3405 0.6811 0.9963  5 Sn 3.04-3.36, 1 Ag 3.09, 2 Sm 3.28
Sm 0.6546 0.3092 0.2711  5 Sn 3.19-3.35, 2 Ag 3.28
Sm 0.3454 0.6908 0.7289  5 Sn 3.19-3.35, 2 Ag 3.28
Sm 0.5000 0.0000 0.5000  6 Sn 3.23-3.33
Sm 0.6595 0.3189 0.0037  5 Sn 3.04-3.36, 1 Ag 3.09, 2 Sm 3.28
Ag 0.9423 0.8847 0.2150  3 Sn 2.80-2.86, 1 Sm 3.09
Ag 0.0577 0.1153 0.7850  3 Sn 2.80-2.86, 1 Sm 3.09

## Properties
DOS(E_F) (states/eV/atom): 0.460
Crystal system: monoclinic
Formation energy (eV/f.u.): -6.0

=====

No. 3
## SmAg2Sn (PBE)

Data for a relaxed structure of SmAg2Sn.

a b c (Å): 4.5884 4.5125 4.5125
angles (deg): 90.00 90.00 90.00
Closest atoms and distances in Å follow each position.
Atoms (fractional coordinates):
Sn 0.5000 0.0000 0.0000  4 Sm 3.19, 8 Ag 3.22
Sm 0.5000 0.5000 0.5000  4 Sn 3.19, 8 Ag 3.22
Ag 0.0000 0.0000 0.5000  4 Ag 3.19, 4 Sm 3.22, 4 Sn 3.22
Ag 0.0000 0.5000 0.0000  4 Ag 3.19, 4 Sn 3.22, 4 Sm 3.22

## Properties
DOS(E_F) (states/eV/atom): 0.620
Crystal system: tetragonal
Formation energy (eV/f.u.): -1.2

=====

No. 4
## SmAg6Sn6 (PBE)

Data for a relaxed structure of SmAg6Sn6.

a b c (Å): 5.9221 7.6525 7.6525
angles (deg): 78.18 67.24 67.24
Closest atoms and distances in Å follow each position.
Atoms (fractional coordinates):
Sn 0.6618 0.8382 0.8382  6 Ag 2.94-2.97
Sn 0.0000 0.3456 0.6544  1 Sn 2.98, 6 Ag 3.10-3.11, 1 Sm 3.34
Sn 0.0000 0.6544 0.3456  1 Sn 2.98, 6 Ag 3.10-3.11, 1 Sm 3.34
Sn 0.6690 0.3310 0.3310  6 Ag 2.95-2.96
Sn 0.3382 0.1618 0.1618  6 Ag 2.94-2.97
Sn 0.3310 0.6690 0.6690  6 Ag 2.95-2.96
Ag 0.0000 0.0000 0.5000  6 Sn 2.95-3.11, 4 Ag 2.96-2.97
Ag 0.5000 0.2516 0.7484  6 Sn 2.94-3.10, 4 Ag 2.97
Ag 0.5000 0.7484 0.2516  6 Sn 2.94-3.10, 4 Ag 2.97
Ag 0.0000 0.5000 0.0000  6 Sn 2.95-3.11, 4 Ag 2.96-2.97
Ag 0.5000 0.0000 0.5000  6 Sn 2.95-3.11, 4 Ag 2.96-2.97
Ag 0.5000 0.5000 0.0000  6 Sn 2.95-3.11, 4 Ag 2.96-2.97
Sm 0.0000 0.0000 0.0000  8 Sn 3.34-3.41

## Properties
DOS(E_F) (states/eV/atom): 0.331
Crystal system: orthorhombic
Formation energy (eV/f.u.): -1.5

=====

No. 5
## Sm8Ag2Sn (PBE)

Data for a relaxed structure of Sm8Ag2Sn.

a b c (Å): 5.3105 8.4843 8.6956
angles (deg): 117.34 107.78 90.00
Closest atoms and distances in Å follow each position.
Atoms (fractional coordinates):
Ag 0.7835 0.3840 0.5670  8 Sm 3.07-3.39
Ag 0.2165 0.6160 0.4330  8 Sm 3.07-3.39
Sm 0.6850 0.9641 0.3700  1 Ag 3.12, 1 Sn 3.22, 4 Sm 3.29-3.35
Sm 0.4008 0.5431 0.8015  3 Ag 3.18-3.39, 1 Sn 3.40
Sm 0.1444 0.2038 0.2887  3 Ag 3.10-3.36, 2 Sn 3.43
Sm 0.0652 0.7259 0.1303  1 Ag 3.07, 3 Sm 3.35-3.37
Sm 0.5992 0.4569 0.1985  3 Ag 3.18-3.39, 1 Sn 3.40
Sm 0.3150 0.0359 0.6300  1 Ag 3.12, 1 Sn 3.22, 4 Sm 3.29-3.35
Sm 0.8556 0.7962 0.7113  3 Ag 3.10-3.36, 2 Sn 3.43
Sm 0.9348 0.2741 0.8697  1 Ag 3.07, 3 Sm 3.35-3.37
Sn 0.5000 0.0000 0.0000  8 Sm 3.22-3.43

## Properties
DOS(E_F) (states/eV/atom): 1.018
Crystal system: monoclinic
Formation energy (eV/f.u.): -2.4

=====

No. 6
## SmAg4Sn2 (PBE)

Data for a relaxed structure of SmAg4Sn2.

a b c (Å): 4.6206 8.1993 8.1993
angles (deg): 90.00 90.00 90.00
Closest atoms and distances in Å follow each position.
Atoms (fractional coordinates):
Ag 0.5000 0.8556 0.3984  3 Sn 2.83, 6 Ag 2.90-3.09
Ag 0.5000 0.3984 0.8556  3 Sn 2.83, 6 Ag 2.90-3.09
Ag 0.0000 0.3556 0.1016  3 Sn 2.83, 6 Ag 2.90-3.09
Ag 0.0000 0.6444 0.8984  3 Sn 2.83, 6 Ag 2.90-3.09
Ag 0.5000 0.1444 0.6016  3 Sn 2.83, 6 Ag 2.90-3.09
Ag 0.0000 0.1016 0.3556  3 Sn 2.83, 6 Ag 2.90-3.09
Ag 0.0000 0.8984 0.6444  3 Sn 2.83, 6 Ag 2.90-3.09
Ag 0.5000 0.6016 0.1444  3 Sn 2.83, 6 Ag 2.90-3.09
Sm 0.0000 0.5000 0.5000  6 Sn 3.35-3.37, 4 Ag 3.47
Sm 0.5000 0.0000 0.0000  6 Sn 3.35-3.37, 4 Ag 3.47
Sn 0.5000 0.2887 0.2887  6 Ag 2.83
Sn 0.0000 0.7887 0.2113  6 Ag 2.83
Sn 0.5000 0.7113 0.7113  6 Ag 2.83
Sn 0.0000 0.2113 0.7887  6 Ag 2.83

## Properties
DOS(E_F) (states/eV/atom): 0.425
Crystal system: tetragonal
Formation energy (eV/f.u.): -1.6

=====

No. 7
## TbSmAgSn (PBE)

Data for a relaxed structure of TbSmAgSn.

a b c (Å): 5.2955 5.2955 5.2955
angles (deg): 60.00 60.00 60.00
Closest atoms and distances in Å follow each position.
Atoms (fractional coordinates):
Tb 0.0000 0.0000 0.0000  4 Ag 3.24, 4 Sn 3.24
Sm 0.5000 0.5000 0.5000  4 Sn 3.24, 4 Ag 3.24
Sn 0.2500 0.2500 0.2500  4 Sm 3.24, 4 Tb 3.24
Ag 0.7500 0.7500 0.7500  4 Sm 3.24, 4 Tb 3.24

## Properties
DOS(E_F) (states/eV/atom): 1.057
Crystal system: cubic
Formation energy (eV/f.u.): -2.1

=====

No. 8
## Tb2SmAg2Sn2 (PBE)

Data for a relaxed structure of Tb2SmAg2Sn2.

a b c (Å): 4.8778 4.8778 9.1408
angles (deg): 74.53 74.53 60.00
Closest atoms and distances in Å follow each position.
Atoms (fractional coordinates):
Tb 0.8653 0.8653 0.4041  3 Ag 2.93, 3 Tb 3.27
Tb 0.1347 0.1347 0.5959  3 Ag 2.93, 3 Tb 3.27
Ag 0.5628 0.5628 0.3117  3 Tb 2.93, 3 Sn 2.96, 1 Ag 3.28
Ag 0.4372 0.4372 0.6883  3 Tb 2.93, 3 Sn 2.96, 1 Ag 3.28
Sm 0.0000 0.0000 0.0000  6 Sn 3.34, 2 Tb 3.51
Sn 0.2648 0.2648 0.2057  3 Ag 2.96, 3 Tb 3.30
Sn 0.7352 0.7352 0.7943  3 Ag 2.96, 3 Tb 3.30

## Properties
DOS(E_F) (states/eV/atom): 0.475
Crystal system: trigonal
Formation energy (eV/f.u.): -3.0

=====

No. 9
## SmAgSnTe3 (PBE)

Data for a relaxed structure of SmAgSnTe3.

a b c (Å): 4.2821 9.1010 9.8129
angles (deg): 100.55 90.00 90.00
Closest atoms and distances in Å follow each position.
Atoms (fractional coordinates):
Te 0.2500 0.6008 0.8475  3 Sn 3.06-3.19, 2 Sm 3.21
Te 0.7500 0.3992 0.1525  3 Sn 3.06-3.19, 2 Sm 3.21
Te 0.7500 0.2507 0.4869  3 Ag 2.90-2.95, 2 Sm 3.23
Te 0.2500 0.0883 0.8758  1 Ag 2.88, 2 Sn 3.20, 2 Sm 3.22
Te 0.7500 0.9117 0.1242  1 Ag 2.88, 2 Sn 3.20, 2 Sm 3.22
Te 0.2500 0.7493 0.5131  3 Ag 2.90-2.95, 2 Sm 3.23
Sm 0.2500 0.1693 0.2384  7 Te 3.21-3.50
Sm 0.7500 0.8307 0.7616  7 Te 3.21-3.50
Ag 0.2500 0.0791 0.5806  4 Te 2.88-2.95, 2 Ag 2.89
Ag 0.7500 0.9209 0.4194  4 Te 2.88-2.95, 2 Ag 2.89
Sn 0.2500 0.6614 0.1644  6 Te 3.06-3.37
Sn 0.7500 0.3386 0.8356  6 Te 3.06-3.37

## Properties
Crystal system: monoclinic

=====

No. 10
## Sm2AgSn3Te6 (PBE)

Data for a relaxed structure of Sm2AgSn3Te6.

a b c (Å): 4.4093 9.0637 10.1581
angles (deg): 103.72 102.53 90.00
Closest atoms and distances in Å follow each position.
Atoms (fractional coordinates):
Sn 0.8400 0.1542 0.6800  6 Te 3.12-3.23
Sn 0.1600 0.8458 0.3200  6 Te 3.12-3.23
Sn 0.5000 0.5000 0.0000  6 Te 3.22-3.28
Sm 0.1667 0.3406 0.3334  6 Te 3.11-3.20
Sm 0.8333 0.6594 0.6666  6 Te 3.11-3.20
Te 0.6673 0.5890 0.3346  3 Sm 3.15-3.20, 3 Sn 3.22-3.23
Te 0.3327 0.4110 0.6654  3 Sm 3.15-3.20, 3 Sn 3.22-3.23
Te 0.9949 0.7650 0.9899  2 Ag 3.05, 1 Sm 3.11, 3 Sn 3.18-3.28
Te 0.0051 0.2350 0.0101  2 Ag 3.05, 1 Sm 3.11, 3 Sn 3.18-3.28
Te 0.6745 0.0953 0.3491  3 Sn 3.12-3.19, 2 Sm 3.16, 1 Ag 3.36
Te 0.3255 0.9047 0.6509  3 Sn 3.12-3.19, 2 Sm 3.16, 1 Ag 3.36
Ag 0.5000 0.0000 0.0000  6 Te 3.05-3.36

## Properties
DOS(E_F) (states/eV/atom): 0.295
Crystal system: monoclinic

=====

No. 11
## SmAgSn2Te4 (PBE)

Data for a relaxed structure of SmAgSn2Te4.

a b c (Å): 4.4612 7.6767 7.8829
angles (deg): 109.85 90.00 90.00
Closest atoms and distances in Å follow each position.
Atoms (fractional coordinates):
Te 0.0000 0.7475 0.2466  2 Sm 3.14, 1 Ag 3.18, 3 Sn 3.18-3.19
Te 0.5000 0.2405 0.2360  2 Ag 3.08, 1 Sm 3.15, 3 Sn 3.22-3.23
Te 0.0000 0.2525 0.7534  2 Sm 3.14, 1 Ag 3.18, 3 Sn 3.18-3.19
Te 0.5000 0.7595 0.7640  2 Ag 3.08, 1 Sm 3.15, 3 Sn 3.22-3.23
Ag 0.0000 0.0000 0.0000  6 Te 3.08-3.18
Sn 0.0000 0.5000 0.5000  6 Te 3.19-3.23
Sn 0.5000 0.0000 0.5000  6 Te 3.18-3.22
Sm 0.5000 0.5000 0.0000  6 Te 3.14-3.15

## Properties
DOS(E_F) (states/eV/atom): 0.020
Crystal system: monoclinic

=====

No. 12
## SmTh2Ag2Sn2 (PBE)

Data for a relaxed structure of SmTh2Ag2Sn2.

a b c (Å): 4.8488 4.8488 9.6925
angles (deg): 75.51 75.51 60.00
Closest atoms and distances in Å follow each position.
Atoms (fractional coordinates):
Ag 0.4058 0.4058 0.7826  3 Sn 2.80
Ag 0.5942 0.5942 0.2174  3 Sn 2.80
Th 0.8692 0.8692 0.3925  3 Ag 3.24, 3 Sn 3.31, 3 Th 3.44
Th 0.1308 0.1308 0.6075  3 Ag 3.24, 3 Sn 3.31, 3 Th 3.44
Sm 0.0000 0.0000 0.0000  6 Sn 3.37, 6 Ag 3.45, 2 Th 3.64
Sn 0.7341 0.7341 0.7978  3 Ag 2.80
Sn 0.2659 0.2659 0.2022  3 Ag 2.80

## Properties
DOS(E_F) (states/eV/atom): 0.978
Crystal system: trigonal
Formation energy (eV/f.u.): -1.5

=====

no.,raw total energy (eV/cell),total magnetization (μB/atom)
1,-67.50,0.00
2,-55.35,0.00
3,-15.61,0.00
4,-47.35,0.00
5,-49.84,0.00
6,-51.49,0.00
7,-18.28,0.06
8,-30.66,0.00
9,-50.26,0.00
10,-50.45,0.00
11,-32.46,0.00
12,-34.75,0.00